# PrAlF6 GGA-PBE relaxed
# - formation energy (no corrections) (meV/atom) = -3747
# - calculated total energy (eV per atom) = -6.216
data_PrAlF6
_symmetry_space_group_name_H-M 'R -3 m'
_symmetry_Int_Tables_number 166
_symmetry_space_group_name_Hall '-R 3 2"'
_cell_length_a 6.9412
_cell_length_b 6.9412
_cell_length_c 6.6815
_cell_angle_alpha 90.00
_cell_angle_beta 90.00
_cell_angle_gamma 120.00
loop_
_atom_site_label
_atom_site_fract_x
_atom_site_fract_y
_atom_site_fract_z
Pr1 0.0000 0.0000 0.0000
Al1 0.0000 0.0000 0.5000
F1 0.0955 0.5477 0.3341